# 1
{
  "formula": "DyZrTlHg",
  "functional": "PBE-GGA",
  "state": "relaxed",
  "lattice_angstrom": [[0.0000, 3.6490, 3.6490], [3.6490, 0.0000, 3.6490], [3.6490, 3.6490, 0.0000]],
  "species": ["Dy", "Zr", "Tl", "Hg"],
  "frac_coords": [[0.0000, 0.0000, 0.0000], [0.5000, 0.5000, 0.5000], [0.7500, 0.7500, 0.7500], [0.2500, 0.2500, 0.2500]],
  "dft_energy_ev_per_atom": -4.1563,
  "dos_ef_per_ev_cell": 4.61,
  "e_form_mev_per_atom": -202,
  "mass_density_g_cm3": 11.256
}

---

# 2
{
  "formula": "DyTm6Hg2",
  "functional": "PBE-GGA",
  "state": "relaxed",
  "lattice_angstrom": [[6.2194, -1.8370, 0.0000], [6.2194, 1.8370, 0.0000], [-3.7948, 0.0000, 11.0571]],
  "species": ["Dy", "Tm", "Tm", "Tm", "Tm", "Tm", "Tm", "Hg", "Hg"],
  "frac_coords": [[0.0000, 0.0000, 0.0000], [0.0142, 0.0142, 0.3383], [0.3122, 0.3122, 0.1239], [0.3128, 0.3128, 0.4170], [0.6872, 0.6872, 0.5830], [0.6878, 0.6878, 0.8761], [0.9858, 0.9858, 0.6617], [0.3540, 0.3540, 0.7897], [0.6460, 0.6460, 0.2103]],
  "dft_energy_ev_per_atom": -3.7606,
  "dos_ef_per_ev_cell": 10.11,
  "e_form_mev_per_atom": -201,
  "mass_density_g_cm3": 10.366
}

---

# 3
{
  "formula": "DyTmHg2",
  "functional": "PBE-GGA",
  "state": "relaxed",
  "lattice_angstrom": [[3.2058, -1.8446, 0.0000], [3.2058, 1.8446, 0.0000], [-2.1573, 0.0000, 9.2050]],
  "species": ["Dy", "Tm", "Hg", "Hg"],
  "frac_coords": [[0.0000, 0.0000, 0.0000], [0.1668, 0.1668, 0.4993], [0.5825, 0.5825, 0.7459], [0.7521, 0.7521, 0.2542]],
  "dft_energy_ev_per_atom": -2.7506,
  "dos_ef_per_ev_cell": 3.68,
  "e_form_mev_per_atom": -331,
  "mass_density_g_cm3": 11.175,
  "e_above_lowest_polymorph_mev_per_atom": 148
}

---

# 4
{
  "formula": "Dy6TmHg2",
  "functional": "PBE-GGA",
  "state": "relaxed",
  "lattice_angstrom": [[6.2680, -1.8579, 0.0000], [6.2680, 1.8579, 0.0000], [-3.8186, 0.0000, 11.1521]],
  "species": ["Dy", "Dy", "Dy", "Dy", "Dy", "Dy", "Tm", "Hg", "Hg"],
  "frac_coords": [[0.0170, 0.0170, 0.3370], [0.3124, 0.3124, 0.1232], [0.3118, 0.3118, 0.4139], [0.6882, 0.6882, 0.5861], [0.6876, 0.6876, 0.8768], [0.9830, 0.9830, 0.6630], [0.0000, 0.0000, 0.0000], [0.3583, 0.3583, 0.7983], [0.6417, 0.6417, 0.2017]],
  "dft_energy_ev_per_atom": -3.8399,
  "dos_ef_per_ev_cell": 9.12,
  "e_form_mev_per_atom": -208,
  "mass_density_g_cm3": 9.878
}

---

# 5
{
  "formula": "DyTmHg2",
  "functional": "PBE-GGA",
  "state": "relaxed",
  "lattice_angstrom": [[3.6865, 0.0000, 0.0000], [0.0000, 3.6865, 0.0000], [0.0000, 0.0000, 7.4461]],
  "species": ["Dy", "Tm", "Hg", "Hg"],
  "frac_coords": [[0.0000, 0.0000, 0.0000], [0.0000, 0.0000, 0.5000], [0.5000, 0.5000, 0.2575], [0.5000, 0.5000, 0.7425]],
  "dft_energy_ev_per_atom": -2.8984,
  "dos_ef_per_ev_cell": 3.73,
  "e_form_mev_per_atom": -479,
  "mass_density_g_cm3": 12.022,
  "e_above_lowest_polymorph_mev_per_atom": 0
}

---

# 6
{
  "formula": "Dy2TmHg4",
  "functional": "PBE-GGA",
  "state": "relaxed",
  "lattice_angstrom": [[2.5325, 1.4621, 8.6626], [-2.5325, 1.4621, 8.6626], [0.0000, -2.9243, 8.6626]],
  "species": ["Dy", "Dy", "Tm", "Hg", "Hg", "Hg", "Hg"],
  "frac_coords": [[0.2450, 0.2450, 0.2450], [0.7550, 0.7550, 0.7550], [0.0000, 0.0000, 0.0000], [0.1267, 0.1267, 0.1267], [0.3736, 0.3736, 0.3736], [0.6264, 0.6264, 0.6264], [0.8733, 0.8733, 0.8733]],
  "dft_energy_ev_per_atom": -2.4662,
  "dos_ef_per_ev_cell": 4.93,
  "e_form_mev_per_atom": -340,
  "mass_density_g_cm3": 11.185,
  "e_above_lowest_polymorph_mev_per_atom": 0
}

---

# 7
{
  "formula": "Dy2TmHg4",
  "functional": "PBE-GGA",
  "state": "relaxed",
  "lattice_angstrom": [[-2.7819, 2.7819, 7.6325], [2.7819, -2.7819, 7.6325], [2.7819, 2.7819, -7.6325]],
  "species": ["Dy", "Dy", "Tm", "Hg", "Hg", "Hg", "Hg"],
  "frac_coords": [[0.1035, 0.1035, 0.0000], [0.8965, 0.8965, 0.0000], [0.5000, 0.5000, 0.0000], [0.0000, 0.5000, 0.5000], [0.3030, 0.3030, 0.0000], [0.5000, 0.0000, 0.5000], [0.6970, 0.6970, 0.0000]],
  "dft_energy_ev_per_atom": -2.1027,
  "dos_ef_per_ev_cell": 6.48,
  "e_form_mev_per_atom": 23,
  "mass_density_g_cm3": 9.110,
  "e_above_lowest_polymorph_mev_per_atom": 364
}

---

# 8
{
  "formula": "Dy2TmHg5",
  "functional": "PBE-GGA",
  "state": "relaxed",
  "lattice_angstrom": [[-2.5933, 2.5933, 7.2738], [2.5933, -2.5933, 7.2738], [2.5933, 2.5933, -7.2738]],
  "species": ["Dy", "Dy", "Tm", "Hg", "Hg", "Hg", "Hg", "Hg"],
  "frac_coords": [[0.2370, 0.2370, 0.0000], [0.7630, 0.7630, 0.0000], [0.5000, 0.5000, 0.0000], [0.0000, 0.0000, 0.0000], [0.1232, 0.6232, 0.5000], [0.3768, 0.8768, 0.5000], [0.6232, 0.1232, 0.5000], [0.8768, 0.3768, 0.5000]],
  "dft_energy_ev_per_atom": -2.3011,
  "dos_ef_per_ev_cell": 4.18,
  "e_form_mev_per_atom": -403,
  "mass_density_g_cm3": 12.704
}

---

# 9
{
  "formula": "Dy2TmHg",
  "functional": "PBE-GGA",
  "state": "relaxed",
  "lattice_angstrom": [[0.0000, 3.8016, 3.8016], [3.8016, 0.0000, 3.8016], [3.8016, 3.8016, 0.0000]],
  "species": ["Dy", "Dy", "Tm", "Hg"],
  "frac_coords": [[0.2500, 0.2500, 0.2500], [0.7500, 0.7500, 0.7500], [0.0000, 0.0000, 0.0000], [0.5000, 0.5000, 0.5000]],
  "dft_energy_ev_per_atom": -3.5507,
  "dos_ef_per_ev_cell": 5.04,
  "e_form_mev_per_atom": -56,
  "mass_density_g_cm3": 10.496,
  "e_above_lowest_polymorph_mev_per_atom": 170
}

---

# 10
{
  "formula": "Dy2Tm2Hg",
  "functional": "PBE-GGA",
  "state": "relaxed",
  "lattice_angstrom": [[-2.5099, 2.5099, 12.2998], [2.5099, -2.5099, 12.2998], [2.5099, 2.5099, -12.2998]],
  "species": ["Dy", "Dy", "Dy", "Dy", "Tm", "Tm", "Tm", "Tm", "Hg", "Hg"],
  "frac_coords": [[0.0491, 0.2991, 0.7500], [0.2991, 0.0491, 0.2500], [0.7009, 0.9509, 0.7500], [0.9509, 0.7009, 0.2500], [0.1981, 0.4481, 0.7500], [0.4481, 0.1981, 0.2500], [0.5519, 0.8019, 0.7500], [0.8019, 0.5519, 0.2500], [0.1250, 0.8750, 0.2500], [0.8750, 0.1250, 0.7500]],
  "dft_energy_ev_per_atom": -3.7238,
  "dos_ef_per_ev_cell": 18.24,
  "e_form_mev_per_atom": -34,
  "mass_density_g_cm3": 9.252
}

---

# 11
{
  "formula": "Dy12Tm5Hg2",
  "functional": "PBE-GGA",
  "state": "relaxed",
  "lattice_angstrom": [[7.7450, -4.5804, 0.0000], [7.7450, 4.5804, 0.0000], [-0.5274, 0.0000, 8.2304]],
  "species": ["Dy", "Dy", "Dy", "Dy", "Dy", "Dy", "Dy", "Dy", "Dy", "Dy", "Dy", "Dy", "Tm", "Tm", "Tm", "Tm", "Tm", "Hg", "Hg"],
  "frac_coords": [[0.0493, 0.0493, 0.2680], [0.0779, 0.6920, 0.3739], [0.1514, 0.5222, 0.7599], [0.3080, 0.9221, 0.6261], [0.4035, 0.4035, 0.1101], [0.4778, 0.8486, 0.2401], [0.5222, 0.1514, 0.7599], [0.5965, 0.5965, 0.8899], [0.6920, 0.0779, 0.3739], [0.8486, 0.4778, 0.2401], [0.9221, 0.3080, 0.6261], [0.9507, 0.9507, 0.7320], [0.1808, 0.1808, 0.9780], [0.2605, 0.2605, 0.4049], [0.5000, 0.5000, 0.5000], [0.7395, 0.7395, 0.5951], [0.8192, 0.8192, 0.0220], [0.2219, 0.7781, 0.0000], [0.7781, 0.2219, 0.0000]],
  "dft_energy_ev_per_atom": -4.1028,
  "dos_ef_per_ev_cell": 27.60,
  "e_form_mev_per_atom": 12,
  "mass_density_g_cm3": 9.088
}

---

# 12
{
  "formula": "DyTm4Hg2",
  "functional": "PBE-GGA",
  "state": "relaxed",
  "lattice_angstrom": [[2.4966, 1.4414, 10.0521], [-2.4966, 1.4414, 10.0521], [0.0000, -2.8829, 10.0521]],
  "species": ["Dy", "Tm", "Tm", "Tm", "Tm", "Hg", "Hg"],
  "frac_coords": [[0.0000, 0.0000, 0.0000], [0.2027, 0.2027, 0.2027], [0.3944, 0.3944, 0.3944], [0.6056, 0.6056, 0.6056], [0.7973, 0.7973, 0.7973], [0.1011, 0.1011, 0.1011], [0.8989, 0.8989, 0.8989]],
  "dft_energy_ev_per_atom": -3.2693,
  "dos_ef_per_ev_cell": 6.76,
  "e_form_mev_per_atom": 29,
  "mass_density_g_cm3": 9.482
}

---

What did the tenth record say?
{
  "formula": "Dy2Tm2Hg",
  "functional": "PBE-GGA",
  "state": "relaxed",
  "lattice_angstrom": [[-2.5099, 2.5099, 12.2998], [2.5099, -2.5099, 12.2998], [2.5099, 2.5099, -12.2998]],
  "species": ["Dy", "Dy", "Dy", "Dy", "Tm", "Tm", "Tm", "Tm", "Hg", "Hg"],
  "frac_coords": [[0.0491, 0.2991, 0.7500], [0.2991, 0.0491, 0.2500], [0.7009, 0.9509, 0.7500], [0.9509, 0.7009, 0.2500], [0.1981, 0.4481, 0.7500], [0.4481, 0.1981, 0.2500], [0.5519, 0.8019, 0.7500], [0.8019, 0.5519, 0.2500], [0.1250, 0.8750, 0.2500], [0.8750, 0.1250, 0.7500]],
  "dft_energy_ev_per_atom": -3.7238,
  "dos_ef_per_ev_cell": 18.24,
  "e_form_mev_per_atom": -34,
  "mass_density_g_cm3": 9.252
}